{"formula": "NdSm7Y3", "functional": "PBE", "state": "optimized geometry", "lattice": [[-1.222, 3.447, -7.917], [4.172, -5.098, -2.863], [-7.074, -1.079, 0.621]], "species": ["Nd", "Sm", "Sm", "Sm", "Sm", "Sm", "Sm", "Sm", "Y", "Y", "Y"], "fractional_positions": [[0.442, 0.333, 0.667], [0.113, 0.168, 0.832], [0.113, 0.168, 0.335], [0.124, 0.667, 0.333], [0.453, 0.832, 0.168], [0.453, 0.335, 0.168], [0.453, 0.832, 0.665], [0.113, 0.665, 0.832], [0.784, 0.500, 0.500], [0.784, 0.500, 0.000], [0.784, 0.999, 0.500]], "dos_ef_per_ev_atom": 1.66, "e_form_mev_per_atom": 187, "vol_a3_per_atom": 35.4, "e_tot_ev_per_atom": -5.012}